{"formula": "Pr2TlRh", "functional": "GGA-PBE", "state": "relaxed", "formation_enthalpy_0k_ev_per_atom": -0.481, "dft_energy_ev_per_cell": -21.20, "space_group": "P4/mmm", "lattice": [[3.609, 0.000, 0.000], [0.000, 3.609, 0.000], [0.000, 0.000, 8.195]], "species": ["Pr", "Pr", "Tl", "Rh"], "frac_coords": [[0.000, 0.000, 0.789], [0.000, 0.000, 0.211], [0.500, 0.500, 0.500], [0.500, 0.500, 0.000]]}